Density functional theory data (PBE) for crystalline BC2 at its relaxed geometry.

Structure (POSCAR):
```
BC2
1.0
-2.660 1.057 -3.716
-4.246 0.003 -1.994
1.406 5.559 4.694
B C
4 8
Cartesian
-4.067 2.659 -2.118
-1.002 1.319 -0.115
-5.370 6.389 -1.036
-1.304 4.075 1.292
-2.880 2.632 -1.042
-2.125 1.257 -1.187
-5.708 1.098 -4.583
-3.414 5.340 0.123
-2.357 5.501 1.196
-0.114 4.119 2.415
-6.166 3.859 -3.316
-5.050 3.912 -2.256
```

Energy above the most stable polymorph in this dataset   9.0 kJ/mol of atoms
Total energy   -8.041 eV/atom
Formation energy   32.2 kJ/mol of atoms
Magnetic moment   0.000 μB per formula unit
D(E_F)   0.345 states/eV/f.u.